Arrangement w

Fe | GGA-PBE | relaxed

Total magnetization = 2.14 μB/f.u.
Calculated density = 8.0 g cm⁻³

The structure in POSCAR format:
```
Fe
1.0
0.0000 0.0000 2.7074
3.9080 0.0000 0.0000
1.9540 4.3585 0.0000
Fe
4
direct
0.0005 0.3680 0.2641 Fe
0.4995 0.8680 0.2641 Fe
0.5004 0.1320 0.7359 Fe
0.9996 0.6320 0.7359 Fe
```

Arrangement x

Fe | GGA-PBE | relaxed

Total magnetization = 2.40 μB/f.u.
Calculated density = 8.1 g cm⁻³

The structure in POSCAR format:
```
Fe
1.0
-2.0295 -1.1904 -0.1091
-0.1572 -1.8959 -1.8147
1.4650 -2.7493 2.7455
Fe
2
direct
0.8613 0.2773 0.2500 Fe
0.1387 0.7227 0.7500 Fe
```

The computed energies, referenced to the most stable structure and given in kJ/mol of atoms, are arrangement w 17.3; arrangement x 0.0.